# GGA-PBE LiPm2Co3Ge4, relaxed
data_LiPm2Co3Ge4
_chemical_formula_sum 'Li1 Pm2 Co3 Ge4'
_cell_length_a 4.195
_cell_length_b 4.195
_cell_length_c 9.544
_cell_angle_alpha 90.00
_cell_angle_beta 90.00
_cell_angle_gamma 90.00
_space_group_name_H-M_alt 'P -4 m 2'
_space_group_IT_number 115
loop_
_space_group_symop_operation_xyz
'x,y,z'
'y,-x,-z'
'-x,-y,z'
'-y,x,-z'
'-x,y,z'
'-y,-x,-z'
'x,-y,z'
'y,x,-z'
loop_
_atom_site_label
_atom_site_type_symbol
_atom_site_fract_x
_atom_site_fract_y
_atom_site_fract_z
Li1 Li 0.000 0.000 0.000
Pm1 Pm 0.000 0.500 0.748
Co1 Co 0.000 0.500 0.378
Co2 Co 0.500 0.500 0.000
Ge1 Ge 0.000 0.000 0.500
Ge2 Ge 0.000 0.500 0.132
Ge3 Ge 0.500 0.500 0.500
# Final energy (eV/cell): -56.61
# Magnetic moment (μB/f.u.): 0.00
# Energy relative to the elements (eV/atom): -0.54